# 1
Below is a relaxed Nb2Fe2BiSb crystal, with properties calculated at the PBE-GGA level.

Its volume is 435.7 Å³ per cell. Its total energy is -7.645 eV per atom.

Lattice parameters (Å, degrees): 10.421 4.251 10.434 90.00 109.50 90.00
Positions (direct):
Nb (0.000, 0.000, 0.000)
Nb (0.122, 0.500, 0.384)
Nb (0.245, 0.000, 0.751)
Nb (0.372, 0.500, 0.128)
Nb (0.497, 0.000, 0.503)
Nb (0.620, 0.500, 0.875)
Nb (0.747, 0.000, 0.258)
Nb (0.875, 0.500, 0.626)
Fe (0.001, 0.000, 0.751)
Fe (0.124, 0.500, 0.123)
Fe (0.245, 0.000, 0.506)
Fe (0.368, 0.500, 0.874)
Fe (0.502, 0.000, 0.258)
Fe (0.617, 0.500, 0.624)
Fe (0.746, 0.000, 0.002)
Fe (0.873, 0.500, 0.385)
Bi (0.247, 0.000, 0.254)
Bi (0.496, 0.000, 0.003)
Bi (0.748, 0.000, 0.752)
Bi (0.873, 0.500, 0.129)
Sb (0.123, 0.500, 0.876)
Sb (0.372, 0.500, 0.628)
Sb (0.622, 0.500, 0.379)
Sb (0.997, 0.000, 0.503)



# 2
Below is a relaxed TaNbFe2Bi2 crystal, with properties calculated at the PBE-GGA level.

Its volume is 449.0 Å³ per cell. Its total energy is -7.695 eV per atom.

Lattice parameters (Å, degrees): 8.595 4.298 12.891 90.00 109.46 90.00
Positions (direct):
Ta (0.000, 0.000, 0.000)
Ta (0.125, 0.500, 0.749)
Ta (0.500, 0.000, 0.000)
Ta (0.750, 0.000, 0.500)
Nb (0.250, 0.000, 0.500)
Nb (0.375, 0.500, 0.250)
Nb (0.625, 0.500, 0.750)
Nb (0.875, 0.500, 0.250)
Fe (0.062, 0.500, 0.124)
Fe (0.187, 0.000, 0.875)
Fe (0.312, 0.500, 0.625)
Fe (0.438, 0.000, 0.375)
Fe (0.562, 0.500, 0.124)
Fe (0.688, 0.000, 0.875)
Fe (0.813, 0.500, 0.625)
Fe (0.937, 0.000, 0.375)
Bi (0.000, 0.500, 0.500)
Bi (0.125, 0.000, 0.250)
Bi (0.250, 0.500, 0.000)
Bi (0.375, 0.000, 0.750)
Bi (0.500, 0.500, 0.500)
Bi (0.625, 0.000, 0.250)
Bi (0.750, 0.500, 0.000)
Bi (0.875, 0.000, 0.750)



# 3
Below is a relaxed TaNbFeBi crystal, with properties calculated at the PBE-GGA level.

The energy relative to the lowest polymorph listed for this composition comes out at 0 meV/atom. Its volume is 70.8 Å³ per cell. Its total energy is -8.069 eV per atom.

Lattice parameters (Å, degrees): 4.643 4.643 4.643 60.00 60.00 60.00
Positions (direct):
Ta (0.000, 0.000, 0.000)
Nb (0.250, 0.250, 0.250)
Fe (0.750, 0.750, 0.750)
Bi (0.500, 0.500, 0.500)



# 4
Below is a relaxed NbFeTcBi crystal, with properties calculated at the PBE-GGA level.

The energy relative to the lowest polymorph listed for this composition comes out at 0 meV/atom. Its volume is 66.5 Å³ per cell. Its total energy is -7.862 eV per atom.

Lattice parameters (Å, degrees): 4.548 4.548 4.548 60.00 60.00 60.00
Positions (direct):
Nb (0.000, 0.000, 0.000)
Fe (0.750, 0.750, 0.750)
Tc (0.250, 0.250, 0.250)
Bi (0.500, 0.500, 0.500)



# 5
Below is a relaxed ZrNbFeBi crystal, with properties calculated at the PBE-GGA level.

The energy relative to the lowest polymorph listed for this composition comes out at 0 meV/atom. Its volume is 74.3 Å³ per cell. Its total energy is -7.391 eV per atom.

Lattice parameters (Å, degrees): 4.718 4.718 4.718 60.00 60.00 60.00
Positions (direct):
Zr (0.000, 0.000, 0.000)
Nb (0.250, 0.250, 0.250)
Fe (0.750, 0.750, 0.750)
Bi (0.500, 0.500, 0.500)



# 6
Below is a relaxed PrNdFe2Bi4 crystal, with properties calculated at the PBE-GGA level.

Its volume is 210.2 Å³ per cell. Its total energy is -5.585 eV per atom.

Lattice parameters (Å, degrees): 4.521 4.521 10.283 90.00 90.00 90.00
Positions (direct):
Pr (0.000, 0.000, 0.000)
Nd (0.500, 0.500, 0.487)
Fe (0.000, 0.500, 0.246)
Fe (0.500, 0.000, 0.246)
Bi (0.000, 0.000, 0.403)
Bi (0.000, 0.500, 0.743)
Bi (0.500, 0.000, 0.743)
Bi (0.500, 0.500, 0.088)



# 7
Below is a relaxed Fe2NiBi crystal, with properties calculated at the PBE-GGA level.

Its volume is 59.2 Å³ per cell. Its total energy is -6.222 eV per atom.

Lattice parameters (Å, degrees): 4.373 4.373 4.373 60.00 60.00 60.00
Positions (direct):
Fe (0.000, 0.000, 0.000)
Fe (0.250, 0.250, 0.250)
Ni (0.500, 0.500, 0.500)
Bi (0.750, 0.750, 0.750)



# 8
Below is a relaxed FeNiBiOs crystal, with properties calculated at the PBE-GGA level.

The energy relative to the lowest polymorph listed for this composition comes out at 0 meV/atom. Its volume is 61.4 Å³ per cell. Its total energy is -6.631 eV per atom.

Lattice parameters (Å, degrees): 4.429 4.429 4.429 60.00 60.00 60.00
Positions (direct):
Fe (0.000, 0.000, 0.000)
Ni (0.250, 0.250, 0.250)
Bi (0.750, 0.750, 0.750)
Os (0.500, 0.500, 0.500)



# 9
Below is a relaxed FeNiBiPd crystal, with properties calculated at the PBE-GGA level.

The energy relative to the lowest polymorph listed for this composition comes out at 0 meV/atom. Its volume is 63.5 Å³ per cell. Its total energy is -5.627 eV per atom.

Lattice parameters (Å, degrees): 4.477 4.477 4.477 60.00 60.00 60.00
Positions (direct):
Fe (0.000, 0.000, 0.000)
Ni (0.500, 0.500, 0.500)
Bi (0.750, 0.750, 0.750)
Pd (0.250, 0.250, 0.250)



# 10
Below is a relaxed FeNiBiPt crystal, with properties calculated at the PBE-GGA level.

The energy relative to the lowest polymorph listed for this composition comes out at 0 meV/atom. Its volume is 63.5 Å³ per cell. Its total energy is -5.850 eV per atom.

Lattice parameters (Å, degrees): 4.477 4.477 4.477 60.00 60.00 60.00
Positions (direct):
Fe (0.000, 0.000, 0.000)
Ni (0.500, 0.500, 0.500)
Bi (0.750, 0.750, 0.750)
Pt (0.250, 0.250, 0.250)



# 11
Below is a relaxed FeReNiBi crystal, with properties calculated at the PBE-GGA level.

The energy relative to the lowest polymorph listed for this composition comes out at 0 meV/atom. Its volume is 61.2 Å³ per cell. Its total energy is -6.846 eV per atom.

Lattice parameters (Å, degrees): 4.423 4.423 4.423 60.00 60.00 60.00
Positions (direct):
Fe (0.000, 0.000, 0.000)
Re (0.250, 0.250, 0.250)
Ni (0.500, 0.500, 0.500)
Bi (0.750, 0.750, 0.750)



# 12
Below is a relaxed TaFeNiBi crystal, with properties calculated at the PBE-GGA level.

The energy relative to the lowest polymorph listed for this composition comes out at 192 meV/atom. Its volume is 67.2 Å³ per cell. Its total energy is -6.918 eV per atom.

Lattice parameters (Å, degrees): 4.563 4.563 4.563 60.00 60.00 60.00
Positions (direct):
Ta (0.000, 0.000, 0.000)
Fe (0.750, 0.750, 0.750)
Ni (0.500, 0.500, 0.500)
Bi (0.250, 0.250, 0.250)



# 13
Below is a relaxed TaFeNiBi crystal, with properties calculated at the PBE-GGA level.

The energy relative to the lowest polymorph listed for this composition comes out at 0 meV/atom. Its volume is 62.2 Å³ per cell. Its total energy is -7.111 eV per atom.

Lattice parameters (Å, degrees): 4.447 4.447 4.447 60.00 60.00 60.00
Positions (direct):
Ta (0.000, 0.000, 0.000)
Fe (0.750, 0.750, 0.750)
Ni (0.250, 0.250, 0.250)
Bi (0.500, 0.500, 0.500)



# 14
Below is a relaxed ZnFeNiBi crystal, with properties calculated at the PBE-GGA level.

The energy relative to the lowest polymorph listed for this composition comes out at 0 meV/atom. Its volume is 59.9 Å³ per cell. Its total energy is -4.504 eV per atom.

Lattice parameters (Å, degrees): 4.393 4.393 4.393 60.00 60.00 60.00
Positions (direct):
Zn (0.000, 0.000, 0.000)
Fe (0.750, 0.750, 0.750)
Ni (0.250, 0.250, 0.250)
Bi (0.500, 0.500, 0.500)



# 15
Below is a relaxed ZnFeNiBi crystal, with properties calculated at the PBE-GGA level.

The energy relative to the lowest polymorph listed for this composition comes out at 167 meV/atom. Its volume is 63.8 Å³ per cell. Its total energy is -4.337 eV per atom.

Lattice parameters (Å, degrees): 4.484 4.484 4.484 60.00 60.00 60.00
Positions (direct):
Zn (0.000, 0.000, 0.000)
Fe (0.750, 0.750, 0.750)
Ni (0.500, 0.500, 0.500)
Bi (0.250, 0.250, 0.250)



# 16
Below is a relaxed ZrFeNiBi crystal, with properties calculated at the PBE-GGA level.

The energy relative to the lowest polymorph listed for this composition comes out at 0 meV/atom. Its volume is 67.6 Å³ per cell. Its total energy is -6.622 eV per atom.

Lattice parameters (Å, degrees): 4.573 4.573 4.573 60.00 60.00 60.00
Positions (direct):
Zr (0.000, 0.000, 0.000)
Fe (0.750, 0.750, 0.750)
Ni (0.250, 0.250, 0.250)
Bi (0.500, 0.500, 0.500)



# 17
Below is a relaxed ZrFeNiBi crystal, with properties calculated at the PBE-GGA level.

The energy relative to the lowest polymorph listed for this composition comes out at 218 meV/atom. Its volume is 70.8 Å³ per cell. Its total energy is -6.404 eV per atom.

Lattice parameters (Å, degrees): 4.644 4.644 4.644 60.00 60.00 60.00
Positions (direct):
Zr (0.000, 0.000, 0.000)
Fe (0.500, 0.500, 0.500)
Ni (0.750, 0.750, 0.750)
Bi (0.250, 0.250, 0.250)



# 18
Below is a relaxed Zr2FeNiBi2 crystal, with properties calculated at the PBE-GGA level.

Its volume is 243.5 Å³ per cell. Its total energy is -6.876 eV per atom.

Lattice parameters (Å, degrees): 7.643 7.643 7.643 131.74 131.74 70.64
Positions (direct):
Zr (0.118, 0.625, 0.993)
Zr (0.375, 0.368, 0.493)
Zr (0.632, 0.125, 0.007)
Zr (0.875, 0.882, 0.507)
Fe (0.000, 0.000, 0.000)
Fe (0.750, 0.250, 0.500)
Ni (0.250, 0.750, 0.500)
Ni (0.500, 0.500, 0.000)
Bi (0.124, 0.125, 0.499)
Bi (0.375, 0.876, 0.001)
Bi (0.626, 0.625, 0.501)
Bi (0.875, 0.374, 0.999)



# 19
Below is a relaxed FeBiOs2 crystal, with properties calculated at the PBE-GGA level.

Its volume is 64.3 Å³ per cell. Its total energy is -7.789 eV per atom.

Lattice parameters (Å, degrees): 4.496 4.496 4.496 60.00 60.00 60.00
Positions (direct):
Fe (0.000, 0.000, 0.000)
Bi (0.750, 0.750, 0.750)
Os (0.250, 0.250, 0.250)
Os (0.500, 0.500, 0.500)



# 20
Below is a relaxed FeBiOs crystal, with properties calculated at the PBE-GGA level.

Its volume is 54.4 Å³ per cell. Its total energy is -7.058 eV per atom.

Lattice parameters (Å, degrees): 4.254 4.254 4.254 60.00 60.00 60.00
Positions (direct):
Fe (0.000, 0.000, 0.000)
Bi (0.750, 0.750, 0.750)
Os (0.250, 0.250, 0.250)